Density functional theory data (GGA-PBE) for ErSc5Tl4 after structural relaxation.

Results
The symmetry is No. 123. Its energy of formation is -0.21 eV per atom.

Cell: 3.437 3.437 20.568 Å, 90.00 90.00 90.00°
Sites, in units of the cell vectors:
Er 0.000 0.000 0.000
Sc 0.500 0.500 0.113
Sc 0.500 0.500 0.305
Sc 0.500 0.500 0.500
Sc 0.500 0.500 0.695
Sc 0.500 0.500 0.887
Tl 0.000 0.000 0.208
Tl 0.000 0.000 0.403
Tl 0.000 0.000 0.597
Tl 0.000 0.000 0.792

---

Density functional theory data (GGA-PBE) for TbPrH2 after structural relaxation.

Results
The symmetry is No. 160. For the excess energy over the best structure of this formula in the dataset, the calculation gives 0.091 eV/atom.

Cell: 6.413 6.413 6.413 Å, 32.43 32.43 32.43°
Sites, in units of the cell vectors:
Tb 0.000 0.000 0.000
Pr 0.822 0.822 0.822
H 0.402 0.402 0.402
H 0.600 0.600 0.600

---

Density functional theory data (GGA-PBE) for Ho2MnZn12Ni3 after structural relaxation.

Results
The symmetry is No. 166. Its energy of formation is 0.25 eV per atom.

Cell: 7.441 7.441 7.441 Å, 70.59 70.59 70.59°
Sites, in units of the cell vectors:
Ho 0.098 0.098 0.098
Ho 0.902 0.902 0.902
Mn 0.500 0.500 0.500
Zn 0.128 0.645 0.645
Zn 0.207 0.207 0.656
Zn 0.207 0.656 0.207
Zn 0.344 0.793 0.793
Zn 0.355 0.355 0.872
Zn 0.355 0.872 0.355
Zn 0.645 0.128 0.645
Zn 0.645 0.645 0.128
Zn 0.656 0.207 0.207
Zn 0.793 0.344 0.793
Zn 0.793 0.793 0.344
Zn 0.872 0.355 0.355
Ni 0.000 0.500 0.500
Ni 0.500 0.000 0.500
Ni 0.500 0.500 0.000

---

Density functional theory data (GGA-PBE) for Li2AsPd2 after structural relaxation.

Results
The symmetry is No. 139. For the excess energy over the best structure of this formula in the dataset, the calculation gives 0.400 eV/atom. Its energy of formation is -0.14 eV per atom.

Cell: 7.308 7.308 7.308 Å, 153.64 153.64 37.62°
Sites, in units of the cell vectors:
Li 0.250 0.750 0.500
Li 0.750 0.250 0.500
As 0.000 0.000 0.000
Pd 0.399 0.399 0.000
Pd 0.601 0.601 0.000

---

Density functional theory data (GGA-PBE) for LaPaPt2 after structural relaxation.

Results
The symmetry is No. 123. For the excess energy over the best structure of this formula in the dataset, the calculation gives 0.101 eV/atom. Its energy of formation is -0.93 eV per atom.

Cell: 3.589 3.589 7.324 Å, 90.00 90.00 90.00°
Sites, in units of the cell vectors:
La 0.000 0.000 0.000
Pa 0.000 0.000 0.500
Pt 0.500 0.500 0.293
Pt 0.500 0.500 0.707

---

Density functional theory data (GGA-PBE) for ZnTcRh after structural relaxation.

Results
The symmetry is No. 156. For the excess energy over the best structure of this formula in the dataset, the calculation gives 0.105 eV/atom. Its energy of formation is -0.06 eV per atom.

Cell: 2.737 2.737 6.618 Å, 90.00 90.00 120.00°
Sites, in units of the cell vectors:
Zn 0.000 0.000 0.000
Tc 0.667 0.333 0.657
Rh 0.333 0.667 0.334

---

Density functional theory data (GGA-PBE) for Ta2AgOs2 after structural relaxation.

Results
The symmetry is No. 127. For the excess energy over the best structure of this formula in the dataset, the calculation gives 0.000 eV/atom. Its energy of formation is 0.01 eV per atom.

Cell: 7.588 7.588 3.025 Å, 90.00 90.00 90.00°
Sites, in units of the cell vectors:
Ta 0.154 0.346 0.000
Ta 0.346 0.846 0.000
Ta 0.654 0.154 0.000
Ta 0.846 0.654 0.000
Ag 0.000 0.000 0.500
Ag 0.500 0.500 0.500
Os 0.140 0.640 0.500
Os 0.360 0.140 0.500
Os 0.640 0.860 0.500
Os 0.860 0.360 0.500

---

Density functional theory data (GGA-PBE) for Nd2ErZr after structural relaxation.

Results
The symmetry is No. 166. For the excess energy over the best structure of this formula in the dataset, the calculation gives 0.186 eV/atom. Its energy of formation is 0.31 eV per atom.

Cell: 12.307 12.307 12.307 Å, 15.93 15.93 15.93°
Sites, in units of the cell vectors:
Nd 0.086 0.086 0.086
Nd 0.914 0.914 0.914
Er 0.500 0.500 0.500
Zr 0.000 0.000 0.000

---

Density functional theory data (GGA-PBE) for Cu3P4S3Br3 after structural relaxation.

Results
The symmetry is No. 62. The uncorrected formation energy comes out at -3.37 eV per formula unit.

Cell: 19.224 9.929 6.750 Å, 90.00 90.00 90.00°
Sites, in units of the cell vectors:
Cu 0.134 0.250 0.047
Cu 0.189 0.018 0.557
Cu 0.189 0.482 0.557
Cu 0.311 0.518 0.057
Cu 0.311 0.982 0.057
Cu 0.366 0.750 0.547
Cu 0.634 0.250 0.453
Cu 0.689 0.018 0.943
Cu 0.689 0.482 0.943
Cu 0.811 0.518 0.443
Cu 0.811 0.982 0.443
Cu 0.866 0.750 0.953
P 0.023 0.250 0.114
P 0.118 0.635 0.681
P 0.118 0.865 0.681
P 0.146 0.750 0.958
P 0.354 0.250 0.458
P 0.382 0.135 0.181
P 0.382 0.365 0.181
P 0.477 0.750 0.614
P 0.523 0.250 0.386
P 0.618 0.635 0.819
P 0.618 0.865 0.819
P 0.646 0.750 0.542
P 0.854 0.250 0.042
P 0.882 0.135 0.319
P 0.882 0.365 0.319
P 0.977 0.750 0.886
S 0.012 0.586 0.714
S 0.012 0.914 0.714
S 0.052 0.750 0.117
S 0.448 0.250 0.617
S 0.488 0.086 0.214
S 0.488 0.414 0.214
S 0.512 0.586 0.786
S 0.512 0.914 0.786
S 0.552 0.750 0.383
S 0.948 0.250 0.883
S 0.988 0.086 0.286
S 0.988 0.414 0.286
Br 0.160 0.250 0.689
Br 0.194 0.048 0.193
Br 0.194 0.452 0.193
Br 0.306 0.548 0.693
Br 0.306 0.952 0.693
Br 0.340 0.750 0.189
Br 0.660 0.250 0.811
Br 0.694 0.048 0.307
Br 0.694 0.452 0.307
Br 0.806 0.548 0.807
Br 0.806 0.952 0.807
Br 0.840 0.750 0.311

---

Density functional theory data (GGA-PBE) for YHSe2N after structural relaxation.

Results
The symmetry is No. 123. For the excess energy over the best structure of this formula in the dataset, the calculation gives 0.552 eV/atom.

Cell: 5.619 5.619 4.668 Å, 90.00 90.00 90.00°
Sites, in units of the cell vectors:
Y 0.000 0.000 0.000
H 0.500 0.500 0.500
Se 0.000 0.500 0.000
Se 0.500 0.000 0.000
N 0.000 0.000 0.500

---

Density functional theory data (GGA-PBE) for YLuTe3 after structural relaxation.

Results
The symmetry is No. 63. For the excess energy over the best structure of this formula in the dataset, the calculation gives 0.890 eV/atom. The uncorrected formation energy comes out at -2.50 eV per formula unit.

Cell: 12.276 12.276 5.326 Å, 90.00 90.00 140.93°
Sites, in units of the cell vectors:
Y 0.114 0.886 0.750
Y 0.886 0.114 0.250
Lu 0.253 0.747 0.750
Lu 0.747 0.253 0.250
Te 0.000 0.000 0.000
Te 0.000 0.000 0.500
Te 0.035 0.385 0.750
Te 0.385 0.035 0.250
Te 0.615 0.965 0.750
Te 0.965 0.615 0.250

---

Density functional theory data (GGA-PBE) for Rb2RhSeF6 after structural relaxation.

Results
The symmetry is No. 139. The uncorrected formation energy comes out at -17.98 eV per formula unit.

Cell: 6.742 6.742 6.742 Å, 127.50 127.50 77.43°
Sites, in units of the cell vectors:
Rb 0.250 0.750 0.500
Rb 0.750 0.250 0.500
Rh 0.000 0.000 0.000
Se 0.500 0.500 0.000
F 0.193 0.193 0.000
F 0.256 0.256 0.511
F 0.256 0.744 0.000
F 0.744 0.256 0.000
F 0.744 0.744 0.489
F 0.807 0.807 0.000